The following is a DFT calculation (GGA-PBE) of an optimized crystal structure of Al2OsPt.

Unit cell a=5.5346 b=5.5346 c=5.5346 alpha=105.47 beta=105.47 gamma=117.81
Atoms (fractional coordinates):
Al (0.1175, 0.6250, 0.9925)
Al (0.3750, 0.3675, 0.4925)
Al (0.6325, 0.1250, 0.0075)
Al (0.8750, 0.8825, 0.5075)
Os (0.2500, 0.7500, 0.5000)
Os (0.5000, 0.5000, 0.0000)
Pt (0.0000, 0.0000, 0.0000)
Pt (0.7500, 0.2500, 0.5000)

Output
Energy of formation (eV/atom): -0.016
Crystal system: tetragonal
Symmetry: I-42d
Theoretical density (g/cm³): 11.36
Final energy (eV/atom): -6.2046

The following is a DFT calculation (GGA-PBE) of an optimized crystal structure of AlOs2Pt2.

Unit cell a=6.3750 b=6.3750 c=3.9326 alpha=90.00 beta=90.00 gamma=90.00
Atoms (fractional coordinates):
Al (0.0000, 0.0000, 0.0000)
Al (0.5000, 0.5000, 0.0000)
Os (0.1437, 0.3563, 0.5000)
Os (0.3563, 0.8563, 0.5000)
Os (0.6437, 0.1437, 0.5000)
Os (0.8563, 0.6437, 0.5000)
Pt (0.1488, 0.6488, 0.0000)
Pt (0.3512, 0.1488, 0.0000)
Pt (0.6488, 0.8512, 0.0000)
Pt (0.8512, 0.3512, 0.0000)

Output
Distance to the lowest polymorph of the same formula (meV per atom): 29
Energy of formation (eV/atom): 0.273
Crystal system: tetragonal
Symmetry: P4/mbm
Theoretical density (g/cm³): 16.57
Final energy (eV/atom): -7.3833

The following is a DFT calculation (GGA-PBE) of an optimized crystal structure of Al2OsPt.

Unit cell a=8.4126 b=8.4126 c=8.4126 alpha=19.62 beta=19.62 gamma=19.62
Atoms (fractional coordinates):
Al (0.2484, 0.2484, 0.2484)
Al (0.7516, 0.7516, 0.7516)
Os (0.5000, 0.5000, 0.5000)
Pt (0.0000, 0.0000, 0.0000)

Output
Energy of formation (eV/atom): -0.474
Crystal system: trigonal
Symmetry: R-3m
Theoretical density (g/cm³): 12.43
Final energy (eV/atom): -6.6627

The following is a DFT calculation (GGA-PBE) of an optimized crystal structure of AlOs2Pt2.

Unit cell a=7.2655 b=7.2655 c=7.2655 alpha=152.06 beta=152.06 gamma=39.92
Atoms (fractional coordinates):
Al (0.0000, 0.0000, 0.0000)
Os (0.2500, 0.7500, 0.5000)
Os (0.7500, 0.2500, 0.5000)
Pt (0.4042, 0.4042, 0.0000)
Pt (0.5958, 0.5958, 0.0000)

Output
Distance to the lowest polymorph of the same formula (meV per atom): 0
Energy of formation (eV/atom): 0.244
Crystal system: tetragonal
Symmetry: I4/mmm
Theoretical density (g/cm³): 15.77
Final energy (eV/atom): -7.4127

The following is a DFT calculation (GGA-PBE) of an optimized crystal structure of AlOsPt3.

Unit cell a=4.4920 b=4.4920 c=4.4920 alpha=90.00 beta=90.00 gamma=90.00
Atoms (fractional coordinates):
Al (0.0000, 0.0000, 0.0000)
Os (0.5000, 0.5000, 0.5000)
Pt (0.0000, 0.0000, 0.5000)
Pt (0.0000, 0.5000, 0.0000)
Pt (0.5000, 0.0000, 0.0000)

Output
Distance to the lowest polymorph of the same formula (meV per atom): 0
Energy of formation (eV/atom): 1.047
Crystal system: cubic
Symmetry: Pm-3m
Theoretical density (g/cm³): 14.70
Final energy (eV/atom): -5.5716

The following is a DFT calculation (GGA-PBE) of an optimized crystal structure of Al4Os3Pt.

Unit cell a=3.0809 b=4.2378 c=8.5004 alpha=90.00 beta=90.00 gamma=90.00
Atoms (fractional coordinates):
Al (0.0000, 0.0000, 0.0000)
Al (0.0000, 0.0000, 0.5000)
Al (0.0000, 0.5000, 0.2419)
Al (0.0000, 0.5000, 0.7581)
Os (0.5000, 0.0000, 0.2545)
Os (0.5000, 0.0000, 0.7455)
Os (0.5000, 0.5000, 0.0000)
Pt (0.5000, 0.5000, 0.5000)

Output
Energy of formation (eV/atom): -0.591
Crystal system: orthorhombic
Symmetry: Pmmm
Theoretical density (g/cm³): 13.07
Final energy (eV/atom): -7.4290

The following is a DFT calculation (GGA-PBE) of an optimized crystal structure of Al2OsPt.

Unit cell a=4.2233 b=4.2233 c=3.1350 alpha=90.00 beta=90.00 gamma=90.00
Atoms (fractional coordinates):
Al (0.0000, 0.5000, 0.0000)
Al (0.5000, 0.0000, 0.0000)
Os (0.0000, 0.0000, 0.5000)
Pt (0.5000, 0.5000, 0.5000)

Output
Energy of formation (eV/atom): -0.776
Crystal system: tetragonal
Symmetry: P4/mmm
Theoretical density (g/cm³): 13.05
Final energy (eV/atom): -6.9651

The following is a DFT calculation (GGA-PBE) of an optimized crystal structure of AlOsPt3.

Unit cell a=4.8357 b=4.8357 c=4.8357 alpha=90.00 beta=90.00 gamma=90.00
Atoms (fractional coordinates):
Al (0.0000, 0.0000, 0.0000)
Os (0.5000, 0.5000, 0.5000)
Pt (0.0000, 0.5000, 0.5000)
Pt (0.5000, 0.0000, 0.5000)
Pt (0.5000, 0.5000, 0.0000)

Output
Distance to the lowest polymorph of the same formula (meV per atom): 159
Energy of formation (eV/atom): 1.206
Crystal system: cubic
Symmetry: Pm-3m
Theoretical density (g/cm³): 11.78
Final energy (eV/atom): -5.4130

The following is a DFT calculation (GGA-PBE) of an optimized crystal structure of Al2OsPt.

Unit cell a=2.7775 b=2.7775 c=7.8385 alpha=90.00 beta=90.00 gamma=90.00
Atoms (fractional coordinates):
Al (0.0000, 0.0000, 0.0000)
Al (0.5000, 0.5000, 0.2846)
Os (0.0000, 0.0000, 0.5092)
Pt (0.5000, 0.5000, 0.7700)

Output
Energy of formation (eV/atom): -0.175
Crystal system: tetragonal
Symmetry: P4mm
Theoretical density (g/cm³): 12.06
Final energy (eV/atom): -6.3640

The following is a DFT calculation (GGA-PBE) of an optimized crystal structure of Al2OsPt.

Unit cell a=3.0813 b=3.0813 c=5.9420 alpha=90.00 beta=90.00 gamma=90.00
Atoms (fractional coordinates):
Al (0.0000, 0.0000, 0.2359)
Al (0.0000, 0.0000, 0.7641)
Os (0.5000, 0.5000, 0.0000)
Pt (0.5000, 0.5000, 0.5000)

Output
Energy of formation (eV/atom): -0.765
Crystal system: tetragonal
Symmetry: P4/mmm
Theoretical density (g/cm³): 12.93
Final energy (eV/atom): -6.9540

The following is a DFT calculation (GGA-PBE) of an optimized crystal structure of Al2OsPt.

Unit cell a=5.8675 b=5.8675 c=5.8675 alpha=153.75 beta=132.04 gamma=55.50
Atoms (fractional coordinates):
Al (0.2495, 0.2495, 0.0000)
Al (0.7505, 0.7505, 0.0000)
Os (0.0000, 0.0000, 0.0000)
Pt (0.5000, 0.5000, 0.0000)

Output
Energy of formation (eV/atom): 0.268
Crystal system: orthorhombic
Symmetry: Immm
Theoretical density (g/cm³): 11.05
Final energy (eV/atom): -5.9208

The following is a DFT calculation (GGA-PBE) of an optimized crystal structure of Al2OsPt.

Unit cell a=2.7490 b=4.2373 c=5.1898 alpha=90.00 beta=105.17 gamma=90.00
Atoms (fractional coordinates):
Al (0.0000, 0.0000, 0.0000)
Al (0.1622, 0.5000, 0.3323)
Os (0.7311, 0.0000, 0.4731)
Pt (0.4232, 0.5000, 0.8465)

Output
Energy of formation (eV/atom): -0.467
Crystal system: monoclinic
Symmetry: Pm
Theoretical density (g/cm³): 12.50
Final energy (eV/atom): -6.6555

Among the records above, which one has the highest energy of formation?
number 8

Which of these has the lowest final energy?
Al4Os3Pt

Please write out number 5 again, unchanged.
The following is a DFT calculation (GGA-PBE) of an optimized crystal structure of AlOsPt3.

Unit cell a=4.4920 b=4.4920 c=4.4920 alpha=90.00 beta=90.00 gamma=90.00
Atoms (fractional coordinates):
Al (0.0000, 0.0000, 0.0000)
Os (0.5000, 0.5000, 0.5000)
Pt (0.0000, 0.0000, 0.5000)
Pt (0.0000, 0.5000, 0.0000)
Pt (0.5000, 0.0000, 0.0000)

Output
Distance to the lowest polymorph of the same formula (meV per atom): 0
Energy of formation (eV/atom): 1.047
Crystal system: cubic
Symmetry: Pm-3m
Theoretical density (g/cm³): 14.70
Final energy (eV/atom): -5.5716

Among the records above, which one has the highest final energy?
number 8